Sr2LaSiN after structural relaxation, computed with PBE-GGA.

Output
Its uncorrected formation energy is -3.2 eV per formula unit. As for the magnetization: 0.000 μB/atom.

Unit cell a=5.1330 b=5.1330 c=5.0087 alpha=90.00 beta=90.00 gamma=90.00
Space group P4/mmm (No. 123)
Asymmetric unit:
Sr: 0.0000 0.5000 0.0000
La: 0.0000 0.0000 0.5000
Si: 0.5000 0.5000 0.5000
N: 0.0000 0.0000 0.0000